## Nd2InHg6 (PBE)

Data for a relaxed Nd2InHg6 crystal.

a b c (Å): 5.1500 5.1494 9.9600
angles (deg): 90.00 90.00 120.00
Last column: nearest neighbours and their distance in Å.
Positions (direct):
Nd1 0.3333 0.6666 0.7246  8 Hg 3.20-3.41
Nd2 0.6667 0.3334 0.2754  8 Hg 3.20-3.41
In1 0.0000 0.0000 0.5000  8 Hg 3.16-3.43
Hg1 0.6667 0.3334 0.9331  7 Hg 3.10-3.26, 1 Nd 3.41
Hg2 0.3333 0.6666 0.0669  7 Hg 3.10-3.26, 1 Nd 3.41
Hg3 0.0000 0.0001 0.1558  4 Hg 3.10, 3 Nd 3.20, 1 In 3.43
Hg4 0.3333 0.6666 0.3931  3 In 3.16, 4 Nd 3.20-3.30, 1 Hg 3.25
Hg5 0.0000 0.9999 0.8442  4 Hg 3.10, 3 Nd 3.20, 1 In 3.43
Hg6 0.6667 0.3334 0.6069  3 In 3.16, 4 Nd 3.20-3.30, 1 Hg 3.25

Results
Distance to the lowest polymorph of the same formula   0.0000 eV per atom
M_tot   0.0 μB/f.u.
Symmetry   P-3m1, No. 164
Energy of formation from the pure elements   -0.32 eV/atom
Calculated total energy   -16.936 eV per formula unit